1.
A PBEsol-optimized structure of CrCuP2, computed with meta-GGA SCAN.

Summary:
For the calculated formation energy, the calculation gives 0.295 eV/atom. The calculation puts the density of states at the Fermi level at 4.5 states/eV per cell.

a b c (Å): 3.1539 3.8471 8.8922
angles (deg): 90.00 90.00 90.00
Last column: nearest neighbours and their distance in Å.
Space group Cmm2 (No. 35)
One atom of each set of equivalent atoms:
Cr: 0.0000 0.0000 0.0000  4 P 2.34-2.58, 4 Cr 2.49, 2 Cu 2.55
Cu: 0.0000 0.5000 0.2250  4 P 2.47-2.71, 4 Cu 2.49, 2 Cr 2.55
P: 0.0000 0.0000 0.4390  4 Cu 2.47-2.71, 4 P 2.49
P: 0.0000 0.5000 0.8062  4 Cr 2.34-2.58, 4 P 2.49

=====

2.
A PBEsol-optimized structure of CrCuP2, computed with meta-GGA SCAN.

Summary:
For the calculated formation energy, the calculation gives 0.235 eV/atom. The calculation puts the density of states at the Fermi level at 2.4 states/eV per cell.

a b c (Å): 3.9716 3.9716 2.9770
angles (deg): 90.00 90.00 90.00
Last column: nearest neighbours and their distance in Å.
Space group P4/mmm (No. 123)
One atom of each set of equivalent atoms:
Cr: 0.0000 0.0000 0.0000  8 P 2.48
Cu: 0.5000 0.5000 0.0000  8 P 2.48
P: 0.0000 0.5000 0.5000  4 Cr 2.48, 4 Cu 2.48

=====

3.
A PBEsol-optimized structure of CrCuP2, computed with meta-GGA SCAN.

Summary:
For the calculated formation energy, the calculation gives -0.087 eV/atom. The calculation puts the density of states at the Fermi level at 3.1 states/eV per cell.

a b c (Å): 3.3042 2.8463 11.5486
angles (deg): 90.00 90.00 90.00
Last column: nearest neighbours and their distance in Å.
Space group Amm2 (No. 38)
One atom of each set of equivalent atoms:
Cr: 0.0000 0.0000 0.0000  6 P 2.26-2.38
Cu: 0.5000 0.0000 0.7838  5 P 2.30-2.33
P: 0.0000 0.0000 0.3476  2 Cr 2.26, 4 Cu 2.30
P: 0.5000 0.0000 0.5824  1 Cu 2.33, 4 Cr 2.38

=====

4.
A PBEsol-optimized structure of CrCuP2, computed with meta-GGA SCAN.

Summary:
For the calculated formation energy, the calculation gives 0.308 eV/atom. The calculation puts the density of states at the Fermi level at 1.9 states/eV per cell.

a b c (Å): 2.6271 2.6271 7.4825
angles (deg): 90.00 90.00 90.00
Last column: nearest neighbours and their distance in Å.
Space group P4mm (No. 99)
One atom of each set of equivalent atoms:
Cr: 0.0000 0.0000 0.0000  4 P 2.39, 4 Cr 2.63, 4 Cu 2.63
Cu: 0.5000 0.5000 0.2494  4 P 2.49, 4 Cu 2.63, 4 Cr 2.63
P: 0.0000 0.0000 0.4707  4 Cu 2.49, 4 P 2.63
P: 0.5000 0.5000 0.7994  4 Cr 2.39, 4 P 2.63

=====

5.
A PBEsol-optimized structure of CrCu2PPt, computed with meta-GGA SCAN.

Summary:
For the calculated formation energy, the calculation gives 0.303 eV/atom. The calculation puts the density of states at the Fermi level at 2.0 states/eV per cell.

a b c (Å): 4.1614 4.1614 4.2954
angles (deg): 90.00 90.00 90.00
Last column: nearest neighbours and their distance in Å.
Space group P4/mmm (No. 123)
One atom of each set of equivalent atoms:
Cr: 0.0000 0.0000 0.0000  2 P 2.15
Cu: 0.0000 0.5000 0.5000  2 P 2.08
P: 0.0000 0.0000 0.5000  4 Cu 2.08, 2 Cr 2.15
Pt: 0.5000 0.5000 0.0000  4 Cr 2.94, 8 Cu 2.99

=====

6.
A PBEsol-optimized structure of CrCuPb, computed with meta-GGA SCAN.

Summary:
For the calculated formation energy, the calculation gives 0.334 eV/atom. The calculation puts the density of states at the Fermi level at 1.4 states/eV per cell.

a b c (Å): 4.4189 4.4189 3.1350
angles (deg): 90.00 90.00 120.00
Last column: nearest neighbours and their distance in Å.
Space group P3m1 (No. 156)
One atom of each set of equivalent atoms:
Cr: 0.0000 0.0000 0.0000  6 Cu 2.85-3.16, 6 Pb 2.92-3.07, 2 Cr 3.14
Cu: 0.3333 0.6667 0.5953  3 Pb 2.59, 3 Cr 2.85
Pb: 0.6667 0.3333 0.4536  3 Cu 2.59

=====

7.
A PBEsol-optimized structure of CrCu2Pb, computed with meta-GGA SCAN.

Summary:
For the calculated formation energy, the calculation gives 0.307 eV/atom. The calculation puts the density of states at the Fermi level at 1.5 states/eV per cell.

a b c (Å): 3.1620 3.1620 6.4124
angles (deg): 90.00 90.00 90.00
Last column: nearest neighbours and their distance in Å.
Space group P4mm (No. 99)
One atom of each set of equivalent atoms:
Cr: 0.0000 0.0000 0.0000  5 Cu 2.54-2.64
Cu: 0.0000 0.0000 0.3960  4 Cu 2.51, 1 Cr 2.54
Cu: 0.5000 0.5000 0.2184  4 Cu 2.51, 4 Cr 2.64
Pb: 0.5000 0.5000 0.6908  5 Cu 2.93-3.03, 4 Cr 2.99, 4 Pb 3.16

=====

8.
A PBEsol-optimized structure of CrCu2Pb, computed with meta-GGA SCAN.

Summary:
For the calculated formation energy, the calculation gives 0.308 eV/atom. The calculation puts the density of states at the Fermi level at 6.0 states/eV per cell.

a b c (Å): 6.2602 6.2602 6.2602
angles (deg): 90.00 90.00 90.00
Last column: nearest neighbours and their distance in Å.
Space group F-43m (No. 216)
One atom of each set of equivalent atoms:
Cr: 0.0000 0.0000 0.0000  4 Pb 2.71, 4 Cu 2.71
Cu: 0.0000 0.0000 0.5000  4 Pb 2.71, 4 Cu 2.71
Cu: 0.2500 0.2500 0.7500  4 Cr 2.71, 4 Cu 2.71
Pb: 0.2500 0.2500 0.2500  4 Cu 2.71, 4 Cr 2.71

=====

| no. | mass density (g/cm³) |
| --- | --- |
| 1 | 5.46 |
| 2 | 6.28 |
| 3 | 5.43 |
| 4 | 5.71 |
| 5 | 9.04 |
| 6 | 10.11 |
| 7 | 10.00 |
| 8 | 10.46 |